Entry 1:
# AcCo2H7, relaxed, DFT PBE-GGA
# D(E_F) = 1.6 states/eV/f.u.
# E_tot = -4.42 eV/atom
data_AcCo2H7
_chemical_formula_sum 'Ac2 Co4 H14'
_space_group_name_H-M_alt 'C m m m'
_space_group_IT_number 65
_space_group_name_Hall '-C 2 2'
_cell_length_a 4.895
_cell_length_b 8.845
_cell_length_c 3.667
_cell_angle_alpha 90.00
_cell_angle_beta 90.00
_cell_angle_gamma 90.00
loop_
_atom_site_label
_atom_site_type_symbol
_atom_site_fract_x
_atom_site_fract_y
_atom_site_fract_z
Ac1 Ac 0.000 0.000 0.000
Co1 Co 0.000 0.315 0.500
H1 H 0.000 0.322 0.000
H2 H 0.000 0.500 0.500
H3 H 0.179 0.157 0.500

=====

Entry 2:
# AcCoH6, relaxed, DFT PBE-GGA
# D(E_F) = 0.0 states/eV/f.u.
# E_tot = -4.33 eV/atom
data_AcCoH6
_chemical_formula_sum 'Ac3 Co3 H18'
_space_group_name_H-M_alt 'R -3 m'
_space_group_IT_number 166
_space_group_name_Hall '-R 3 2"'
_cell_length_a 4.6696
_cell_length_b 4.6696
_cell_length_c 11.5250
_cell_angle_alpha 90.00
_cell_angle_beta 90.00
_cell_angle_gamma 120.00
loop_
_atom_site_label
_atom_site_type_symbol
_atom_site_fract_x
_atom_site_fract_y
_atom_site_fract_z
Ac1 Ac 0.0000 0.0000 0.0000
Co1 Co 0.0000 0.0000 0.5000
H1 H 0.0120 0.5060 0.0959

=====

Entry 3:
# Ac5Co2H, relaxed, DFT PBE-GGA
# D(E_F) = 6.2 states/eV/f.u.
# E_tot = -4.78 eV/atom
data_Ac5Co2H
_chemical_formula_sum 'Ac20 Co8 H4'
_space_group_name_H-M_alt 'C m c m'
_space_group_IT_number 63
_space_group_name_Hall '-C 2c 2'
_cell_length_a 5.654
_cell_length_b 13.085
_cell_length_c 14.266
_cell_angle_alpha 90.00
_cell_angle_beta 90.00
_cell_angle_gamma 90.00
loop_
_atom_site_label
_atom_site_type_symbol
_atom_site_fract_x
_atom_site_fract_y
_atom_site_fract_z
Ac1 Ac 0.000 0.053 0.119
Ac2 Ac 0.000 0.242 0.750
Ac3 Ac 0.000 0.341 0.061
Co1 Co 0.000 0.152 0.561
H1 H 0.000 0.230 0.250

=====

What did the third record say?
# Ac5Co2H, relaxed, DFT PBE-GGA
# D(E_F) = 6.2 states/eV/f.u.
# E_tot = -4.78 eV/atom
data_Ac5Co2H
_chemical_formula_sum 'Ac20 Co8 H4'
_space_group_name_H-M_alt 'C m c m'
_space_group_IT_number 63
_space_group_name_Hall '-C 2c 2'
_cell_length_a 5.654
_cell_length_b 13.085
_cell_length_c 14.266
_cell_angle_alpha 90.00
_cell_angle_beta 90.00
_cell_angle_gamma 90.00
loop_
_atom_site_label
_atom_site_type_symbol
_atom_site_fract_x
_atom_site_fract_y
_atom_site_fract_z
Ac1 Ac 0.000 0.053 0.119
Ac2 Ac 0.000 0.242 0.750
Ac3 Ac 0.000 0.341 0.061
Co1 Co 0.000 0.152 0.561
H1 H 0.000 0.230 0.250

=====

Repeat the first record exactly.
# AcCo2H7, relaxed, DFT PBE-GGA
# D(E_F) = 1.6 states/eV/f.u.
# E_tot = -4.42 eV/atom
data_AcCo2H7
_chemical_formula_sum 'Ac2 Co4 H14'
_space_group_name_H-M_alt 'C m m m'
_space_group_IT_number 65
_space_group_name_Hall '-C 2 2'
_cell_length_a 4.895
_cell_length_b 8.845
_cell_length_c 3.667
_cell_angle_alpha 90.00
_cell_angle_beta 90.00
_cell_angle_gamma 90.00
loop_
_atom_site_label
_atom_site_type_symbol
_atom_site_fract_x
_atom_site_fract_y
_atom_site_fract_z
Ac1 Ac 0.000 0.000 0.000
Co1 Co 0.000 0.315 0.500
H1 H 0.000 0.322 0.000
H2 H 0.000 0.500 0.500
H3 H 0.179 0.157 0.500

=====

- What is the E_tot in the first record?
  -4.42 eV/atom

=====

- Which of these has the highest D(E_F)?
  Ac5Co2H